1.
Sm3Y2Th2, optimized geometry, DFT PBE; magnetization = 0.00 μB per cell; SG = P-1 (2); ΔE_f = 0.04 eV per atom; energy above the lowest structure with this stoichiometry = 0.000 eV per atom
1.0
-0.3630 -0.4392 3.5672
10.3656 0.0747 4.7198
0.0314 5.6540 2.5378
Sm Th Y
3 2 2
Cartesian
5.7936 3.8310 6.5545
0.0000 0.0000 0.0000
4.2404 1.4586 4.2702
1.4046 2.3867 2.2684
8.6294 2.9029 8.5563
7.1887 0.5750 6.2891
2.8453 4.7146 4.5356

---

2.
CaHf2V2, optimized geometry, DFT PBE; magnetization = 0.65 μB per cell; SG = P4/mbm (127); ΔE_f = 0.37 eV per atom
1.0
8.0201 0.0000 0.0000
0.0000 8.0201 0.0000
0.0000 0.0000 3.2334
Hf Ca V
4 2 4
Cartesian
1.3974 5.4075 1.6167
6.6228 2.6127 1.6167
2.6127 1.3974 1.6167
5.4075 6.6228 1.6167
4.0101 4.0101 0.0000
0.0000 0.0000 0.0000
3.1218 7.1319 0.0000
4.8983 0.8883 0.0000
7.1319 4.8983 0.0000
0.8883 3.1218 0.0000